1.
# GGA-PBE LaErO3, relaxed
# DOS at the Fermi energy: 0.000 states/eV per atom
# space group: P2_1/m
# energy relative to the elements, uncorrected: -3.474 eV/atom
# DFT total energy: -83.472 eV per cell
data_LaErO3
_cell_length_a 3.957
_cell_length_b 5.834
_cell_length_c 9.067
_cell_angle_alpha 116.80
_cell_angle_beta 90.00
_cell_angle_gamma 90.00
_space_group_name_H-M_alt 'P 1'
_space_group_IT_number 1
loop_
_space_group_symop_operation_xyz
'x,y,z'
loop_
_atom_site_label
_atom_site_type_symbol
_atom_site_fract_x
_atom_site_fract_y
_atom_site_fract_z
La1 La 0.750 0.097 0.607
O1 O 0.750 0.205 0.380
O2 O 0.750 0.680 0.341
O3 O 0.250 0.331 0.620
O4 O 0.250 0.948 0.113
Er1 Er 0.250 0.699 0.833
Er2 Er 0.750 0.837 0.167
La2 La 0.250 0.439 0.393
O5 O 0.750 0.588 0.887
O6 O 0.250 0.856 0.659

***

2.
# GGA-PBE CuPPd6, relaxed
# DOS at the Fermi energy: 0.766 states/eV per atom
# space group: P-1
# DFT total energy: -41.308 eV per cell
data_CuPPd6
_cell_length_a 5.871
_cell_length_b 5.900
_cell_length_c 5.447
_cell_angle_alpha 57.55
_cell_angle_beta 57.63
_cell_angle_gamma 59.93
_space_group_name_H-M_alt 'P 1'
_space_group_IT_number 1
loop_
_space_group_symop_operation_xyz
'x,y,z'
loop_
_atom_site_label
_atom_site_type_symbol
_atom_site_fract_x
_atom_site_fract_y
_atom_site_fract_z
Pd1 Pd 0.771 0.008 0.762
Pd2 Pd 0.991 0.545 0.236
Pd3 Pd 0.543 0.228 0.237
Pd4 Pd 0.009 0.455 0.764
Pd5 Pd 0.229 0.992 0.238
P1 P 0.000 0.000 0.000
Cu1 Cu 0.500 0.500 0.500
Pd6 Pd 0.457 0.772 0.763

***

3.
# GGA-PBE CaFeTc2, relaxed
# DOS at the Fermi energy: 1.329 states/eV per atom
# E above lowest polymorph: 275.8 meV/atom
# space group: Pmmm
# DFT total energy: -28.617 eV per cell
data_CaFeTc2
_cell_length_a 3.121
_cell_length_b 4.420
_cell_length_c 4.689
_cell_angle_alpha 90.00
_cell_angle_beta 90.00
_cell_angle_gamma 90.00
_space_group_name_H-M_alt 'P 1'
_space_group_IT_number 1
loop_
_space_group_symop_operation_xyz
'x,y,z'
loop_
_atom_site_label
_atom_site_type_symbol
_atom_site_fract_x
_atom_site_fract_y
_atom_site_fract_z
Fe1 Fe 0.000 0.500 0.500
Tc1 Tc 0.500 0.500 0.000
Ca1 Ca 0.500 0.000 0.500
Tc2 Tc 0.000 0.000 0.000

***

4.
# GGA-PBE Sr2ZnMo, relaxed
# DOS at the Fermi energy: 0.833 states/eV per atom
# space group: C2/m
# DFT total energy: -12.732 eV per cell
data_Sr2ZnMo
_cell_length_a 8.718
_cell_length_b 5.541
_cell_length_c 3.824
_cell_angle_alpha 90.08
_cell_angle_beta 63.87
_cell_angle_gamma 129.41
_space_group_name_H-M_alt 'P 1'
_space_group_IT_number 1
loop_
_space_group_symop_operation_xyz
'x,y,z'
loop_
_atom_site_label
_atom_site_type_symbol
_atom_site_fract_x
_atom_site_fract_y
_atom_site_fract_z
Zn1 Zn 0.000 0.500 0.500
Sr1 Sr 0.500 0.000 0.500
Sr2 Sr 0.000 0.000 0.000
Mo1 Mo 0.500 0.500 0.000

***

> Among the records above, which one has the lowest DOS at the Fermi energy?

LaErO3